Density functional theory data (PBE) for a geometry-optimized U2Ir structure.

total energy	-51.69	eV for the cell shown
volume	72.99	Å³/atom
total magnetic moment	5.92	μB/f.u.

```
U2Ir
1.0
0.000 6.027 6.027
6.027 0.000 6.027
6.027 6.027 0.000
U Ir
4 2
Direct
0.000 0.000 0.000
0.000 0.000 0.500
0.000 0.500 0.000
0.500 0.000 0.000
0.125 0.125 0.125
0.875 0.875 0.875
```

***

Density functional theory data (PBE) for a geometry-optimized TlB4Mo structure.

total energy	-39.52	eV for the cell shown
distance to the lowest polymorph of the same formula	0	meV/atom
volume	11.96	Å³/atom
total magnetic moment	0.00	μB/f.u.

```
TlB4Mo
1.0
3.016 0.000 0.000
-1.508 2.612 0.000
0.000 0.000 9.110
Tl B Mo
1 4 1
Direct
0.000 0.000 0.000
0.333 0.667 0.319
0.333 0.667 0.681
0.667 0.333 0.319
0.667 0.333 0.681
0.000 0.000 0.500
```

***

Density functional theory data (PBE) for a geometry-optimized Hf2Sc4C3S3 structure.

total energy	-203.04	eV for the cell shown
volume	15.17	Å³/atom
total magnetic moment	0.00	μB/f.u.

```
Hf2Sc4C3S3
1.0
5.131 -2.964 0.000
5.131 2.964 0.000
-3.432 0.000 11.971
Hf Sc C S
4 8 6 6
Direct
0.033 0.863 0.599
0.137 0.967 0.901
0.863 0.033 0.099
0.967 0.137 0.401
0.200 0.372 0.104
0.302 0.462 0.396
0.372 0.200 0.604
0.462 0.302 0.896
0.538 0.698 0.104
0.628 0.800 0.396
0.698 0.538 0.604
0.800 0.628 0.896
0.000 0.500 0.500
0.160 0.679 0.000
0.321 0.840 0.500
0.500 0.000 0.000
0.679 0.160 0.500
0.840 0.321 0.000
0.084 0.247 0.750
0.247 0.084 0.250
0.415 0.585 0.750
0.585 0.415 0.250
0.753 0.916 0.750
0.916 0.753 0.250
```

***

Density functional theory data (PBE) for a geometry-optimized Li4In2CuIr structure.

total energy	-27.63	eV for the cell shown
volume	15.42	Å³/atom
total magnetic moment	0.00	μB/f.u.

```
Li4In2CuIr
1.0
4.432 0.000 0.000
0.000 4.432 0.000
0.000 0.000 6.278
Li In Cu Ir
4 2 1 1
Direct
0.000 0.000 0.000
0.000 0.500 0.748
0.500 0.000 0.252
0.500 0.500 0.500
0.000 0.500 0.250
0.500 0.000 0.750
0.000 0.000 0.500
0.500 0.500 0.000
```

***

Density functional theory data (PBE) for a geometry-optimized CdS2 structure.

total energy	-14.30	eV for the cell shown
volume	19.26	Å³/atom

```
CdS2
1.0
0.000 3.866 3.866
3.866 0.000 3.866
3.866 3.866 0.000
Cd S
2 4
Direct
0.125 0.125 0.125
0.875 0.875 0.875
0.000 0.500 0.500
0.500 0.000 0.500
0.500 0.500 0.000
0.500 0.500 0.500
```

***

Density functional theory data (PBE) for a geometry-optimized Lu2ScTa structure.

total energy	-25.82	eV for the cell shown
volume	23.96	Å³/atom
total magnetic moment	2.25	μB/f.u.

```
Lu2ScTa
1.0
0.000 3.632 3.632
3.632 0.000 3.632
3.632 3.632 0.000
Lu Sc Ta
2 1 1
Direct
0.000 0.000 0.000
0.250 0.250 0.250
0.500 0.500 0.500
0.750 0.750 0.750
```

***

Density functional theory data (PBE) for a geometry-optimized B2W2N5 structure.

total energy	-82.30	eV for the cell shown
distance to the lowest polymorph of the same formula	200	meV/atom
volume	9.45	Å³/atom
total magnetic moment	0.80	μB/f.u.

```
B2W2N5
1.0
1.402 0.810 12.486
-1.402 0.810 12.486
0.000 -1.619 12.486
B W N
2 2 5
Direct
0.000 0.000 0.000
0.180 0.180 0.180
0.403 0.403 0.403
0.591 0.591 0.591
0.099 0.099 0.099
0.223 0.223 0.223
0.346 0.346 0.346
0.505 0.505 0.505
0.959 0.959 0.959
```

***

Density functional theory data (PBE) for a geometry-optimized Nb4Ge5Pd5 structure.

total energy	-92.64	eV for the cell shown
volume	19.36	Å³/atom
total magnetic moment	0.00	μB/f.u.

```
Nb4Ge5Pd5
1.0
-4.749 4.749 3.005
4.749 -4.749 3.005
4.749 4.749 -3.005
Nb Ge Pd
4 5 5
Direct
0.046 0.147 0.696
0.451 0.350 0.304
0.650 0.954 0.101
0.853 0.549 0.899
0.151 0.455 0.112
0.343 0.039 0.888
0.545 0.657 0.696
0.750 0.250 0.500
0.961 0.849 0.304
0.000 0.000 0.000
0.200 0.594 0.809
0.406 0.215 0.606
0.609 0.800 0.394
0.785 0.391 0.191
```